1.
This record from the Alexandria database describes a geometry-optimized Ba2TcAg structure. The functional is PBE.

a b c (Å): 7.7111 7.7111 7.7111
angles (deg): 90.00 90.00 90.00
Space group F-43m (No. 216)
Inequivalent atoms, fractional coordinates:
1 Ba 0.0000 0.0000 0.0000 (multiplicity 4)
2 Ba 0.2500 0.2500 0.2500 (multiplicity 4)
3 Tc 0.0000 0.0000 0.5000 (multiplicity 4)
4 Ag 0.2500 0.2500 0.7500 (multiplicity 4)

Properties
For the formation energy, the calculation gives 0.751 eV per atom. The theoretical density comes out at 6961 kg/m³. The value obtained for the uncorrected energy is -56.237 eV/cell. The density of states at the Fermi level comes out at 1.3881 states/eV/atom.

***

2.
This record from the Alexandria database describes a geometry-optimized TaTe2PI structure. The functional is PBE.

a b c (Å): 5.2209 5.2209 5.1035
angles (deg): 90.00 90.00 90.00
Space group P4/mmm (No. 123)
Inequivalent atoms, fractional coordinates:
1 Ta 0.0000 0.0000 0.0000 (multiplicity 1)
2 Te 0.0000 0.5000 0.5000 (multiplicity 2)
3 P 0.5000 0.5000 0.5000 (multiplicity 1)
4 I 0.5000 0.5000 0.0000 (multiplicity 1)

Properties
The formation energy from raw total energies is 1.1155 eV per atom. The theoretical density comes out at 7091 kg/m³. The value obtained for the uncorrected energy is -19.518 eV/cell. The density of states at the Fermi level comes out at 0.5012 states/eV/atom.